# 1
Crystalline BaOsAu2 at its relaxed geometry, computed with GGA-PBE.

total magnetization = 1.1 μB/f.u.
SG = I-42d
formation enthalpy at 0 K = 0.427 eV/atom

```
data_BaOsAu2
_chemical_formula_sum 'Ba2 Os2 Au4'
_space_group_name_H-M_alt 'P 1'
_space_group_IT_number 1
_cell_length_a 5.284
_cell_length_b 5.284
_cell_length_c 9.469
_cell_angle_alpha 73.80
_cell_angle_beta 73.80
_cell_angle_gamma 90.00
loop_
_space_group_symop_operation_xyz
'x,y,z'
loop_
_atom_site_label
_atom_site_type_symbol
_atom_site_fract_x
_atom_site_fract_y
_atom_site_fract_z
_atom_site_occupancy
Au1 Au 0.875 0.039 0.750 1
Au2 Au 0.375 0.211 0.750 1
Au3 Au 0.961 0.625 0.250 1
Au4 Au 0.789 0.125 0.250 1
Os1 Os 0.750 0.250 0.500 1
Os2 Os 0.000 0.000 0.000 1
Ba1 Ba 0.500 0.500 0.000 1
Ba2 Ba 0.250 0.750 0.500 1
```

# 2
Crystalline BaOsAu2 at its relaxed geometry, computed with GGA-PBE.

total magnetization = 0.0 μB/f.u.
SG = Pm
formation enthalpy at 0 K = 0.462 eV/atom

```
data_BaOsAu2
_chemical_formula_sum 'Ba1 Os1 Au2'
_space_group_name_H-M_alt 'P 1'
_space_group_IT_number 1
_cell_length_a 4.511
_cell_length_b 3.110
_cell_length_c 6.779
_cell_angle_alpha 85.82
_cell_angle_beta 90.00
_cell_angle_gamma 90.00
loop_
_space_group_symop_operation_xyz
'x,y,z'
loop_
_atom_site_label
_atom_site_type_symbol
_atom_site_fract_x
_atom_site_fract_y
_atom_site_fract_z
_atom_site_occupancy
Au1 Au 0.500 0.124 0.209 1
Au2 Au 0.000 0.126 0.928 1
Os1 Os 0.500 0.672 0.871 1
Ba1 Ba 0.000 0.577 0.493 1
```

# 3
Crystalline BaOs2Au at its relaxed geometry, computed with GGA-PBE.

total magnetization = 0.7 μB/f.u.
SG = I-4m2
formation enthalpy at 0 K = 1.300 eV/atom

```
data_BaOs2Au
_chemical_formula_sum 'Ba1 Os2 Au1'
_space_group_name_H-M_alt 'P 1'
_space_group_IT_number 1
_cell_length_a 4.816
_cell_length_b 4.816
_cell_length_c 4.816
_cell_angle_alpha 117.57
_cell_angle_beta 117.57
_cell_angle_gamma 94.27
loop_
_space_group_symop_operation_xyz
'x,y,z'
loop_
_atom_site_label
_atom_site_type_symbol
_atom_site_fract_x
_atom_site_fract_y
_atom_site_fract_z
_atom_site_occupancy
Os1 Os 0.250 0.750 0.500 1
Os2 Os 0.000 0.000 0.000 1
Ba1 Ba 0.750 0.250 0.500 1
Au1 Au 0.500 0.500 0.000 1
```

# 4
Crystalline BaOsAu2 at its relaxed geometry, computed with GGA-PBE.

total magnetization = 0.0 μB/f.u.
SG = P4mm
formation enthalpy at 0 K = 0.526 eV/atom

```
data_BaOsAu2
_chemical_formula_sum 'Ba1 Os1 Au2'
_space_group_name_H-M_alt 'P 1'
_space_group_IT_number 1
_cell_length_a 3.579
_cell_length_b 3.579
_cell_length_c 7.377
_cell_angle_alpha 90.00
_cell_angle_beta 90.00
_cell_angle_gamma 90.00
loop_
_space_group_symop_operation_xyz
'x,y,z'
loop_
_atom_site_label
_atom_site_type_symbol
_atom_site_fract_x
_atom_site_fract_y
_atom_site_fract_z
_atom_site_occupancy
Au1 Au 0.500 0.500 0.207 1
Au2 Au 0.000 0.000 0.956 1
Os1 Os 0.500 0.500 0.835 1
Ba1 Ba 0.000 0.000 0.503 1
```

E_tot, record by record: -4.500, -4.465, -5.615, -4.401 eV/atom
Calculated volume, record by record: 30.4, 23.7, 20.4, 23.6 A^3/atom